A relaxed NpNi5H7 crystal. Source: Alexandria via LeMat-Bulk, functional PBE.

## Properties
The calculation puts the electronic total energy at -4.842 eV per atom.

a b c (Å): 4.860 8.840 5.104
angles (deg): 90.00 90.00 90.00
Space group Imm2 (No. 44)
Symmetry-distinct sites (fractional):
Np 0.000 0.000 0.000 (multiplicity 2)
Ni 0.000 0.500 0.100 (multiplicity 2)
Ni 0.250 0.250 0.273 (multiplicity 8)
H 0.000 0.000 0.420 (multiplicity 2)
H 0.000 0.000 0.573 (multiplicity 2)
H 0.000 0.248 0.530 (multiplicity 4)
H 0.000 0.303 0.014 (multiplicity 4)
H 0.000 0.500 0.397 (multiplicity 2)